Entry one
TeMoN: optimized geometry, GGA-PBE.

a b c (Å): 3.407 3.399 13.722
angles (deg): 82.89 90.00 90.00
Sites, in units of the cell vectors:
Mo 0.250 0.599 0.802
Mo 0.750 0.401 0.198
N 0.750 0.929 0.142
N 0.250 0.071 0.858
Te 0.250 0.325 0.350
Te 0.750 0.675 0.650

## Properties
- D(E_F): 3.00 states/eV/cell
- Crystal system: orthorhombic
- SG: No. 63

***

Entry two
TeMoN: optimized geometry, GGA-PBE.

a b c (Å): 3.509 3.509 9.353
angles (deg): 90.00 90.00 90.00
Sites, in units of the cell vectors:
Te 0.000 0.500 0.299
Te 0.500 0.000 0.701
N 0.500 0.500 0.000
N 0.000 0.000 0.000
Mo 0.500 0.000 0.112
Mo 0.000 0.500 0.888

## Properties
- D(E_F): 1.20 states/eV/cell
- Crystal system: tetragonal
- SG: No. 129

***

How do the structures above rank in stability at the extremes? entry two comes first and entry one comes last.